Record 1
VASP calculation (PBE) on a relaxed structure of KUPd2S4.

Lattice parameters (Å, degrees): 6.667 6.667 7.966 90.00 90.00 90.00
Space group I-42m (No. 121)
Unique sites:
K: 0.000 0.000 0.000 (multiplicity 2)
U: 0.000 0.000 0.500 (multiplicity 2)
Pd: 0.000 0.500 0.250 (multiplicity 4)
S: 0.218 0.218 0.703 (multiplicity 8)

Properties
- DOS at the Fermi energy: 0.9641 states/eV per atom
- Energy relative to the elements, uncorrected: -5.88 eV per formula unit
- VASP energy: -0.207 hartree per atom

Record 2
VASP calculation (PBE) on a relaxed structure of AcSmPd2.

Lattice parameters (Å, degrees): 4.680 4.002 11.159 90.00 90.00 90.00
Space group Amm2 (No. 38)
Unique sites:
Ac: 0.000 0.000 0.000 (multiplicity 2)
Sm: 0.500 0.000 0.729 (multiplicity 2)
Pd: 0.000 0.000 0.274 (multiplicity 2)
Pd: 0.500 0.000 0.445 (multiplicity 2)

Properties
- DOS at the Fermi energy: 0.5500 states/eV per atom
- Energy of formation: -78.1 kJ/mol of atoms
- VASP energy: -0.206 hartree per atom